## Ti2SbTeI (PBE)

Data for a relaxed structure of Ti2SbTeI.

Results
formation energy without anion corrections: 682.3 meV per atom
spin magnetization: 0.756 μB per atom
V: 169 Å³/cell

Unit cell a=5.4408 b=5.7042 c=5.4408 alpha=90.00 beta=90.00 gamma=90.00
Closest atoms and distances in Å follow each position.
Sites, in units of the cell vectors:
1 I 0.5000 0.5000 0.5000  4 Te 3.85, 8 Ti 3.94
2 Sb 0.0000 0.0000 0.0000  4 Ti 2.72, 2 Te 2.85
3 Ti 0.0000 0.0000 0.5000  2 Sb 2.72
4 Ti 0.5000 0.0000 0.0000  2 Sb 2.72
5 Te 0.0000 0.5000 0.0000  2 Sb 2.85